# Cs3RbI

A relaxed Cs3RbI crystal (GGA-PBE, Alexandria via LeMat-Bulk).

Formation energy from raw total energies ... -0.58 eV per atom
Crystal system ... cubic
Volume ... 91.80 A^3/atom
DOS(E_F) ... 4.3 states/eV/cell
Magnetization ... 0.00 μB/atom

Unit cell a=7.7139 b=7.7139 c=7.7139 alpha=90.00 beta=90.00 gamma=90.00
Positions (direct):
Cs (0.0000, 0.0000, 0.5000)
Cs (0.0000, 0.5000, 0.0000)
Cs (0.5000, 0.0000, 0.0000)
Rb (0.5000, 0.5000, 0.5000)
I (0.0000, 0.0000, 0.0000)

***

# Nd2Tm2Sn7

A relaxed Nd2Tm2Sn7 crystal (GGA-PBE, Alexandria via LeMat-Bulk).

Crystal system ... orthorhombic
ΔE_f ... -2.0 eV/f.u.
Volume ... 32.27 A^3/atom
DOS(E_F) ... 9.7 states/eV/cell
Magnetization ... 0.00 μB/atom

Unit cell a=7.4305 b=7.4305 c=6.4974 alpha=90.00 beta=90.00 gamma=98.28
Positions (direct):
Nd (0.1891, 0.1891, 0.0000)
Nd (0.8109, 0.8109, 0.0000)
Tm (0.2648, 0.7352, 0.5000)
Tm (0.7352, 0.2648, 0.5000)
Sn (0.0000, 0.0000, 0.5000)
Sn (0.0000, 0.5000, 0.2231)
Sn (0.0000, 0.5000, 0.7769)
Sn (0.5000, 0.0000, 0.2231)
Sn (0.5000, 0.0000, 0.7769)
Sn (0.5000, 0.5000, 0.2246)
Sn (0.5000, 0.5000, 0.7754)

***

# Dy3Zr2ScAs6

A relaxed Dy3Zr2ScAs6 crystal (GGA-PBE, Alexandria via LeMat-Bulk).

Crystal system ... monoclinic
ΔE_f ... -16.4 eV/f.u.
Volume ... 22.42 A^3/atom
DOS(E_F) ... 4.4 states/eV/cell
Magnetization ... 0.00 μB/atom

Unit cell a=8.9274 b=8.9274 c=7.9945 alpha=103.27 beta=103.27 gamma=25.75
Positions (direct):
Dy (0.0000, 0.0000, 0.0000)
Dy (0.3339, 0.3339, 0.6657)
Dy (0.6661, 0.6661, 0.3343)
Zr (0.3334, 0.3334, 0.1651)
Zr (0.6666, 0.6666, 0.8349)
Sc (0.0000, 0.0000, 0.5000)
As (0.1636, 0.1636, 0.5919)
As (0.1695, 0.1695, 0.0775)
As (0.4966, 0.4966, 0.2587)
As (0.5034, 0.5034, 0.7413)
As (0.8305, 0.8305, 0.9225)
As (0.8364, 0.8364, 0.4081)

***

# MgS5

A relaxed MgS5 crystal (GGA-PBE, Alexandria via LeMat-Bulk).

Formation energy from raw total energies ... -0.27 eV per atom
Crystal system ... triclinic
Volume ... 24.26 A^3/atom
Magnetization ... 0.00 μB/atom

Unit cell a=4.4537 b=5.2190 c=12.7608 alpha=83.90 beta=82.56 gamma=83.72
Positions (direct):
Mg (0.1215, 0.1480, 0.2284)
Mg (0.8785, 0.8520, 0.7716)
S (0.0847, 0.6431, 0.2520)
S (0.1526, 0.9512, 0.5709)
S (0.2491, 0.2815, 0.6192)
S (0.3502, 0.8446, 0.8656)
S (0.4189, 0.4629, 0.9285)
S (0.5811, 0.5371, 0.0715)
S (0.6498, 0.1554, 0.1344)
S (0.7509, 0.7185, 0.3808)
S (0.8474, 0.0488, 0.4291)
S (0.9153, 0.3569, 0.7480)

***

# Na4MgF2

A relaxed Na4MgF2 crystal (GGA-PBE, Alexandria via LeMat-Bulk).

Formation energy from raw total energies ... -0.84 eV per atom
Crystal system ... tetragonal
Volume ... 30.10 A^3/atom
DOS(E_F) ... 3.4 states/eV/cell
Magnetization ... 0.00 μB/atom

Unit cell a=7.8063 b=7.8063 c=7.8063 alpha=137.99 beta=137.99 gamma=60.91
Positions (direct):
Na (0.0000, 0.5000, 0.5000)
Na (0.2454, 0.2454, 0.0000)
Na (0.5000, 0.0000, 0.5000)
Na (0.7546, 0.7546, 0.0000)
Mg (0.0000, 0.0000, 0.0000)
F (0.3987, 0.3987, 0.0000)
F (0.6013, 0.6013, 0.0000)

***

# Li2PmAg2Sn2

A relaxed Li2PmAg2Sn2 crystal (GGA-PBE, Alexandria via LeMat-Bulk).

Crystal system ... trigonal
ΔE_f ... -2.9 eV/f.u.
Volume ... 21.59 A^3/atom
DOS(E_F) ... 2.4 states/eV/cell
Magnetization ... 0.00 μB/atom

Unit cell a=8.4378 b=8.4378 c=8.4378 alpha=32.15 beta=32.15 gamma=32.15
Positions (direct):
Li (0.1399, 0.1399, 0.1399)
Li (0.8601, 0.8601, 0.8601)
Pm (0.0000, 0.0000, 0.0000)
Ag (0.4371, 0.4371, 0.4371)
Ag (0.5629, 0.5629, 0.5629)
Sn (0.2591, 0.2591, 0.2591)
Sn (0.7409, 0.7409, 0.7409)

***

> What is the volume in the second record?

32.27 A^3/atom